First-principles (PBE) data for an optimized crystal structure of PmPa4N8, as listed in Alexandria via LeMat-Bulk.

Properties
The calculation puts the density of states at the Fermi level at 8.7 states/eV/f.u. Its energy relative to the elements, uncorrected is -1.436 eV/atom. Its crystal system is monoclinic. As for the total energy: -9.85 eV per atom. The calculation puts the calculated volume at 426.6 Å³/cell.

Lattice parameters (Å, degrees): 13.918 3.688 9.745 90.00 121.48 90.00
Space group Cm (No. 8)
Inequivalent atoms, fractional coordinates:
Pm (0.000, 0.000, 0.000) (multiplicity 2)
Pa (0.003, 0.000, 0.644) (multiplicity 2)
Pa (0.212, 0.500, 0.000) (multiplicity 2)
Pa (0.232, 0.000, 0.398) (multiplicity 2)
Pa (0.473, 0.000, 0.299) (multiplicity 2)
N (0.022, 0.500, 0.845) (multiplicity 2)
N (0.072, 0.000, 0.444) (multiplicity 2)
N (0.100, 0.500, 0.221) (multiplicity 2)
N (0.178, 0.000, 0.840) (multiplicity 2)
N (0.240, 0.000, 0.165) (multiplicity 2)
N (0.313, 0.500, 0.538) (multiplicity 2)
N (0.397, 0.500, 0.123) (multiplicity 2)
N (0.433, 0.000, 0.491) (multiplicity 2)